# 1
LaDyZn: relaxed, GGA-PBE.

Lattice parameters (Å, degrees): 5.0537 5.0537 5.0537 60.00 60.00 60.00
With the nearest neighbours (Å) after each atom.
Fractional positions:
Dy 0.2500 0.2500 0.2500  4 Zn 3.09
La 0.7500 0.7500 0.7500  4 Zn 3.09
Zn 0.0000 0.0000 0.0000  4 La 3.09, 4 Dy 3.09

symmetry = F-43m
E = -10.74 eV/f.u.
total magnetic moment = 0.00 μB/cell

=====

# 2
NaPd3: relaxed, GGA-PBE.

Lattice parameters (Å, degrees): 5.6820 5.6820 4.6416 90.00 90.00 120.00
With the nearest neighbours (Å) after each atom.
Fractional positions:
Na 0.3333 0.6667 0.2500  12 Pd 2.84-2.86
Na 0.6667 0.3333 0.7500  12 Pd 2.84-2.86
Pd 0.3270 0.1635 0.2500  8 Pd 2.79-2.89, 4 Na 2.84-2.86
Pd 0.8365 0.1635 0.2500  8 Pd 2.79-2.89, 4 Na 2.84-2.86
Pd 0.8365 0.6730 0.2500  8 Pd 2.79-2.89, 4 Na 2.84-2.86
Pd 0.1635 0.3270 0.7500  8 Pd 2.79-2.89, 4 Na 2.84-2.86
Pd 0.1635 0.8365 0.7500  8 Pd 2.79-2.89, 4 Na 2.84-2.86
Pd 0.6730 0.8365 0.7500  8 Pd 2.79-2.89, 4 Na 2.84-2.86

symmetry = P6_3/mmc
E = -16.80 eV/f.u.

=====

# 3
YCdCuSb: relaxed, GGA-PBE.

Lattice parameters (Å, degrees): 5.0321 5.0321 5.0321 60.00 60.00 60.00
With the nearest neighbours (Å) after each atom.
Fractional positions:
Cd 0.5000 0.5000 0.5000  4 Cu 3.08, 4 Y 3.08
Cu 0.7500 0.7500 0.7500  4 Cd 3.08, 4 Sb 3.08
Sb 0.0000 0.0000 0.0000  4 Y 3.08, 4 Cu 3.08
Y 0.2500 0.2500 0.2500  4 Sb 3.08, 4 Cd 3.08

symmetry = F-43m
E = -15.73 eV/f.u.
total magnetic moment = 0.00 μB/cell

=====

# 4
Na21Zn25: relaxed, GGA-PBE.

Lattice parameters (Å, degrees): 15.6549 15.6549 15.6549 116.43 116.43 116.43
With the nearest neighbours (Å) after each atom.
Fractional positions:
Na 0.2710 0.8143 0.0435  7 Zn 3.06-3.18, 5 Na 3.13-3.31
Na 0.1412 0.5606 0.0469  8 Zn 3.04-3.23, 5 Na 3.09-3.38
Na 0.8197 0.9367 0.0522  4 Na 3.13-3.35, 12 Zn 3.15-3.23
Na 0.4463 0.7500 0.0537  4 Zn 3.04-3.17, 8 Na 3.28-3.38
Na 0.6412 0.5469 0.0606  8 Zn 3.04-3.23, 5 Na 3.09-3.38
Na 0.9478 0.1803 0.0633  4 Na 3.13-3.35, 12 Zn 3.15-3.23
Na 0.5606 0.0469 0.1412  8 Zn 3.04-3.23, 5 Na 3.09-3.38
Na 0.0633 0.9478 0.1803  4 Na 3.13-3.35, 12 Zn 3.15-3.23
Na 0.9565 0.7290 0.1857  7 Zn 3.06-3.18, 5 Na 3.13-3.31
Na 0.4565 0.6857 0.2290  7 Zn 3.06-3.18, 5 Na 3.13-3.31
Na 0.9463 0.5537 0.2500  4 Zn 3.04-3.17, 8 Na 3.28-3.38
Na 0.8143 0.0435 0.2710  7 Zn 3.06-3.18, 5 Na 3.13-3.31
Na 0.7710 0.5435 0.3143  7 Zn 3.06-3.18, 5 Na 3.13-3.31
Na 0.5522 0.4367 0.3197  4 Na 3.13-3.35, 12 Zn 3.15-3.23
Na 0.4531 0.9394 0.3588  8 Zn 3.04-3.23, 5 Na 3.09-3.38
Na 0.3197 0.5522 0.4367  4 Na 3.13-3.35, 12 Zn 3.15-3.23
Na 0.9531 0.8588 0.4394  8 Zn 3.04-3.23, 5 Na 3.09-3.38
Na 0.7500 0.0537 0.4463  4 Zn 3.04-3.17, 8 Na 3.28-3.38
Na 0.5633 0.6803 0.4478  4 Na 3.13-3.35, 12 Zn 3.15-3.23
Na 0.9394 0.3588 0.4531  8 Zn 3.04-3.23, 5 Na 3.09-3.38
Na 0.6857 0.2290 0.4565  7 Zn 3.06-3.18, 5 Na 3.13-3.31
Na 0.3143 0.7710 0.5435  7 Zn 3.06-3.18, 5 Na 3.13-3.31
Na 0.0606 0.6412 0.5469  8 Zn 3.04-3.23, 5 Na 3.09-3.38
Na 0.4367 0.3197 0.5522  4 Na 3.13-3.35, 12 Zn 3.15-3.23
Na 0.2500 0.9463 0.5537  4 Zn 3.04-3.17, 8 Na 3.28-3.38
Na 0.0469 0.1412 0.5606  8 Zn 3.04-3.23, 5 Na 3.09-3.38
Na 0.6803 0.4478 0.5633  4 Na 3.13-3.35, 12 Zn 3.15-3.23
Na 0.5469 0.0606 0.6412  8 Zn 3.04-3.23, 5 Na 3.09-3.38
Na 0.4478 0.5633 0.6803  4 Na 3.13-3.35, 12 Zn 3.15-3.23
Na 0.2290 0.4565 0.6857  7 Zn 3.06-3.18, 5 Na 3.13-3.31
Na 0.1857 0.9565 0.7290  7 Zn 3.06-3.18, 5 Na 3.13-3.31
Na 0.0537 0.4463 0.7500  4 Zn 3.04-3.17, 8 Na 3.28-3.38
Na 0.5435 0.3143 0.7710  7 Zn 3.06-3.18, 5 Na 3.13-3.31
Na 0.0435 0.2710 0.8143  7 Zn 3.06-3.18, 5 Na 3.13-3.31
Na 0.9367 0.0522 0.8197  4 Na 3.13-3.35, 12 Zn 3.15-3.23
Na 0.4394 0.9531 0.8588  8 Zn 3.04-3.23, 5 Na 3.09-3.38
Na 0.0522 0.8197 0.9367  4 Na 3.13-3.35, 12 Zn 3.15-3.23
Na 0.3588 0.4531 0.9394  8 Zn 3.04-3.23, 5 Na 3.09-3.38
Na 0.5537 0.2500 0.9463  4 Zn 3.04-3.17, 8 Na 3.28-3.38
Na 0.1803 0.0633 0.9478  4 Na 3.13-3.35, 12 Zn 3.15-3.23
Na 0.8588 0.4394 0.9531  8 Zn 3.04-3.23, 5 Na 3.09-3.38
Na 0.7290 0.1857 0.9565  7 Zn 3.06-3.18, 5 Na 3.13-3.31
Zn 0.0000 0.0000 0.0000  6 Zn 2.74
Zn 0.4214 0.3122 0.0148  5 Zn 2.65-2.89
Zn 0.3055 0.3662 0.0738  5 Zn 2.63-2.75
Zn 0.4852 0.1878 0.0786  5 Zn 2.65-2.89
Zn 0.7648 0.1154 0.1147  5 Zn 2.67-2.77
Zn 0.1147 0.7648 0.1154  5 Zn 2.67-2.77
Zn 0.1945 0.4262 0.1338  5 Zn 2.63-2.75
Zn 0.0786 0.4852 0.1878  5 Zn 2.65-2.89
Zn 0.2500 0.3089 0.1911  6 Zn 2.67-2.74
Zn 0.4262 0.1338 0.1945  5 Zn 2.63-2.75
Zn 0.7500 0.3002 0.1998  4 Zn 2.72-2.77, 4 Na 3.04
Zn 0.8846 0.8853 0.2352  5 Zn 2.67-2.77
Zn 0.3089 0.1911 0.2500  6 Zn 2.67-2.74
Zn 0.6998 0.8002 0.2500  4 Zn 2.72-2.77, 4 Na 3.04
Zn 0.6147 0.6154 0.2648  5 Zn 2.67-2.77
Zn 0.1998 0.7500 0.3002  4 Zn 2.72-2.77, 4 Na 3.04
Zn 0.3662 0.0738 0.3055  5 Zn 2.63-2.75
Zn 0.1911 0.2500 0.3089  6 Zn 2.67-2.74
Zn 0.0148 0.4214 0.3122  5 Zn 2.65-2.89
Zn 0.0738 0.3055 0.3662  5 Zn 2.63-2.75
Zn 0.7352 0.3853 0.3846  5 Zn 2.67-2.77
Zn 0.3846 0.7352 0.3853  5 Zn 2.67-2.77
Zn 0.3122 0.0148 0.4214  5 Zn 2.65-2.89
Zn 0.1338 0.1945 0.4262  5 Zn 2.63-2.75
Zn 0.1878 0.0786 0.4852  5 Zn 2.65-2.89
Zn 0.5000 0.5000 0.5000  6 Zn 2.74
Zn 0.8122 0.9214 0.5148  5 Zn 2.65-2.89
Zn 0.8662 0.8055 0.5738  5 Zn 2.63-2.75
Zn 0.6878 0.9852 0.5786  5 Zn 2.65-2.89
Zn 0.6154 0.2648 0.6147  5 Zn 2.67-2.77
Zn 0.2648 0.6147 0.6154  5 Zn 2.67-2.77
Zn 0.9262 0.6945 0.6338  5 Zn 2.63-2.75
Zn 0.9852 0.5786 0.6878  5 Zn 2.65-2.89
Zn 0.8089 0.7500 0.6911  6 Zn 2.67-2.74
Zn 0.6338 0.9262 0.6945  5 Zn 2.63-2.75
Zn 0.8002 0.2500 0.6998  4 Zn 2.72-2.77, 4 Na 3.04
Zn 0.3853 0.3846 0.7352  5 Zn 2.67-2.77
Zn 0.3002 0.1998 0.7500  4 Zn 2.72-2.77, 4 Na 3.04
Zn 0.6911 0.8089 0.7500  6 Zn 2.67-2.74
Zn 0.1154 0.1147 0.7648  5 Zn 2.67-2.77
Zn 0.2500 0.6998 0.8002  4 Zn 2.72-2.77, 4 Na 3.04
Zn 0.5738 0.8662 0.8055  5 Zn 2.63-2.75
Zn 0.7500 0.6911 0.8089  6 Zn 2.67-2.74
Zn 0.9214 0.5148 0.8122  5 Zn 2.65-2.89
Zn 0.8055 0.5738 0.8662  5 Zn 2.63-2.75
Zn 0.8853 0.2352 0.8846  5 Zn 2.67-2.77
Zn 0.2352 0.8846 0.8853  5 Zn 2.67-2.77
Zn 0.5148 0.8122 0.9214  5 Zn 2.65-2.89
Zn 0.6945 0.6338 0.9262  5 Zn 2.63-2.75
Zn 0.5786 0.6878 0.9852  5 Zn 2.65-2.89

symmetry = R-3c
E = -60.04 eV/f.u.

=====

# 5
AcAgO3: relaxed, GGA-PBE.

Lattice parameters (Å, degrees): 5.9819 5.9819 6.1094 60.69 60.69 60.00
With the nearest neighbours (Å) after each atom.
Fractional positions:
Ac 0.6260 0.6260 0.1221  6 O 2.41-2.60
Ac 0.3740 0.3740 0.8779  6 O 2.41-2.60
Ag 0.8488 0.8488 0.4536  6 O 2.22-2.23
Ag 0.1512 0.1512 0.5464  6 O 2.22-2.23
O 0.5483 0.2100 0.2646  2 Ag 2.22-2.23, 1 Ac 2.41
O 0.2100 0.9771 0.2646  2 Ag 2.22-2.23, 1 Ac 2.41
O 0.9771 0.5483 0.2646  2 Ag 2.22-2.23, 1 Ac 2.41
O 0.0229 0.4517 0.7354  2 Ag 2.22-2.23, 1 Ac 2.41
O 0.7900 0.0229 0.7354  2 Ag 2.22-2.23, 1 Ac 2.41
O 0.4517 0.7900 0.7354  2 Ag 2.22-2.23, 1 Ac 2.41

symmetry = R-3
E = -29.00 eV/f.u.
total magnetic moment = 0.00 μB/cell

=====

# 6
NdCuSi2Ir: relaxed, GGA-PBE.

Lattice parameters (Å, degrees): 5.8109 5.8109 5.8109 138.62 138.62 59.95
With the nearest neighbours (Å) after each atom.
Fractional positions:
Cu 0.2500 0.7500 0.5000  4 Si 2.42
Ir 0.7500 0.2500 0.5000  4 Si 2.42
Nd 0.0000 0.0000 0.0000  8 Si 3.15, 4 Cu 3.25, 4 Ir 3.25
Si 0.3782 0.3782 0.0000  2 Cu 2.42, 2 Ir 2.42, 1 Si 2.45
Si 0.6218 0.6218 0.0000  2 Cu 2.42, 2 Ir 2.42, 1 Si 2.45

symmetry = I-4m2
E = -31.93 eV/f.u.
total magnetic moment = 0.00 μB/cell

=====

# 7
DyTmMg2Au4: relaxed, GGA-PBE.

Lattice parameters (Å, degrees): 4.8923 6.7551 4.9167 90.00 90.00 90.00
With the nearest neighbours (Å) after each atom.
Fractional positions:
Au 0.5000 0.2542 0.2574  4 Mg 2.96-3.02, 2 Tm 2.97, 2 Dy 2.99
Au 0.5000 0.7458 0.2574  4 Mg 2.96-3.02, 2 Tm 2.97, 2 Dy 2.99
Au 0.0000 0.2532 0.7433  4 Mg 2.95-2.99, 2 Tm 2.96, 2 Dy 2.99-3.00
Au 0.0000 0.7468 0.7433  4 Mg 2.95-2.99, 2 Tm 2.96, 2 Dy 2.99-3.00
Dy 0.0000 0.0000 0.2431  8 Au 2.99-3.00
Mg 0.0000 0.5000 0.2474  8 Au 2.95-2.99
Mg 0.5000 0.0000 0.7509  8 Au 2.97-3.02
Tm 0.5000 0.5000 0.7572  8 Au 2.96-2.97

symmetry = Pmm2
E = -31.52 eV/f.u.
total magnetic moment = 0.00 μB/cell

=====

# 8
Tb2NdAgHg3Au2: relaxed, GGA-PBE.

Lattice parameters (Å, degrees): 3.8300 8.0230 8.0230 120.34 90.00 90.00
With the nearest neighbours (Å) after each atom.
Fractional positions:
Ag 0.0000 0.0018 0.0018  6 Hg 2.85-2.89
Au 0.5000 0.6676 0.3289  3 Hg 2.93-3.00, 4 Tb 3.07-3.08, 2 Nd 3.14
Au 0.5000 0.3289 0.6676  3 Hg 2.93-3.00, 4 Tb 3.07-3.08, 2 Nd 3.14
Hg 0.5000 0.7320 0.0011  2 Ag 2.89, 2 Au 2.93-2.98
Hg 0.5000 0.2667 0.2667  2 Ag 2.85, 2 Au 3.00
Hg 0.5000 0.0011 0.7320  2 Ag 2.89, 2 Au 2.93-2.98
Nd 0.0000 0.5958 0.5958  4 Au 3.14, 1 Ag 3.24, 6 Hg 3.25-3.44
Tb 0.0000 0.4061 0.0000  4 Au 3.07-3.08, 4 Hg 3.24-3.43, 1 Ag 3.25
Tb 0.0000 0.0000 0.4061  4 Au 3.07-3.08, 4 Hg 3.24-3.43, 1 Ag 3.25

symmetry = Amm2
E = -29.54 eV/f.u.
total magnetic moment = 0.01 μB/cell